DFT (PBE) results for a relaxed Ba3SmTh2As6 crystal.

Unit cell a=7.674 b=7.674 c=7.970 alpha=99.24 beta=99.24 gamma=120.02
Fractional coordinates of all 12 atoms:
Ba (0.000, 0.000, 0.000)
Ba (0.334, 0.666, 0.000)
Ba (0.666, 0.334, 0.000)
Sm (0.500, 0.500, 0.500)
Th (0.167, 0.833, 0.500)
Th (0.833, 0.167, 0.500)
As (0.093, 0.429, 0.287)
As (0.235, 0.235, 0.713)
As (0.429, 0.093, 0.287)
As (0.571, 0.907, 0.713)
As (0.765, 0.765, 0.287)
As (0.907, 0.571, 0.713)

E_form (eV per atom): -1.26
DOS(E_F) (states/eV/f.u.): 10.80